# 1
Entry from Alexandria via LeMat-Bulk: an optimized crystal structure of In2RuBr (PBE-GGA).

The structure in POSCAR format:
```
In2RuBr
1.0
-3.2109 3.2109 6.5643
3.2109 -3.2109 6.5643
3.2109 3.2109 -6.5643
In Ru Br
4 2 2
Direct
0.0587 0.6250 0.9337
0.3750 0.3087 0.4337
0.6913 0.1250 0.0663
0.8750 0.9413 0.5663
0.0000 0.0000 0.0000
0.7500 0.2500 0.5000
0.2500 0.7500 0.5000
0.5000 0.5000 0.0000
```

Summary:
Its total moment is 0.00 μB/cell. The value obtained for the density of states at the Fermi level is 9.84 states/eV per cell. Its total DFT energy (no corrections) is -0.13580 hartree per atom. For the formation energy from raw total energies, the calculation gives 0.411 eV per atom. The value obtained for the energy above the most stable polymorph in this dataset is 499 meV/atom.


# 2
Entry from Alexandria via LeMat-Bulk: an optimized crystal structure of Ac4Ge2Cl (PBE-GGA).

The structure in POSCAR format:
```
Ac4Ge2Cl
1.0
-4.7543 4.7543 5.0120
4.7543 -4.7543 5.0120
4.7543 4.7543 -5.0120
Ac Ge Cl
8 4 2
Direct
0.1296 0.2455 0.7356
0.1440 0.7600 0.7644
0.2400 0.0045 0.3840
0.5100 0.3940 0.2644
0.6060 0.8704 0.1160
0.6204 0.8560 0.6160
0.7545 0.4900 0.8840
0.9955 0.3796 0.2356
0.2509 0.6250 0.1259
0.3750 0.5009 0.6259
0.4991 0.1250 0.8741
0.8750 0.7491 0.3741
0.0000 0.0000 0.0000
0.7500 0.2500 0.5000
```

Summary:
Its total moment is 0.00 μB/cell. The value obtained for the density of states at the Fermi level is 13.71 states/eV per cell. Its total DFT energy (no corrections) is -0.17628 hartree per atom. For the formation energy from raw total energies, the calculation gives -0.866 eV per atom. The value obtained for the energy above the most stable polymorph in this dataset is 0 meV/atom.


# 3
Entry from Alexandria via LeMat-Bulk: an optimized crystal structure of MoC2I (PBE-GGA).

The structure in POSCAR format:
```
MoC2I
1.0
-2.8073 2.8073 4.8478
2.8073 -2.8073 4.8478
2.8073 2.8073 -4.8478
Mo C I
2 4 2
Direct
0.0000 0.0000 0.0000
0.7500 0.2500 0.5000
0.3750 0.2396 0.3646
0.7604 0.1250 0.1354
0.8750 0.0104 0.6354
0.9896 0.6250 0.8646
0.2500 0.7500 0.5000
0.5000 0.5000 0.0000
```

Summary:
Its total moment is 0.00 μB/cell. The value obtained for the density of states at the Fermi level is 5.73 states/eV per cell. Its total DFT energy (no corrections) is -0.23069 hartree per atom. For the formation energy from raw total energies, the calculation gives 1.430 eV per atom. The value obtained for the energy above the most stable polymorph in this dataset is 0 meV/atom.


# 4
Entry from Alexandria via LeMat-Bulk: an optimized crystal structure of NdInSnAu (PBE-GGA).

The structure in POSCAR format:
```
NdInSnAu
1.0
0.0000 3.6982 3.6982
3.6982 0.0000 3.6982
3.6982 3.6982 0.0000
Nd In Sn Au
1 1 1 1
Direct
0.0000 0.0000 0.0000
0.2500 0.2500 0.2500
0.5000 0.5000 0.5000
0.7500 0.7500 0.7500
```

Summary:
For the formation enthalpy at 0 K, the calculation gives -1.6 eV per formula unit. Its total moment is 0.00 μB/cell. The value obtained for the density of states at the Fermi level is 3.26 states/eV per cell. Its total DFT energy (no corrections) is -0.15029 hartree per atom.


# 5
Entry from Alexandria via LeMat-Bulk: an optimized crystal structure of Sr2Si2Br (PBE-GGA).

The structure in POSCAR format:
```
Sr2Si2Br
1.0
-1.9489 1.9489 9.1227
1.9489 -1.9489 9.1227
1.9489 1.9489 -9.1227
Sr Si Br
2 2 1
Direct
0.1177 0.1177 0.0000
0.8823 0.8823 0.0000
0.2500 0.7500 0.5000
0.7500 0.2500 0.5000
0.5000 0.5000 0.0000
```

Summary:
Its total moment is 0.00 μB/cell. The value obtained for the density of states at the Fermi level is 2.62 states/eV per cell. Its total DFT energy (no corrections) is -0.13772 hartree per atom. For the formation energy from raw total energies, the calculation gives -0.571 eV per atom. The value obtained for the energy above the most stable polymorph in this dataset is 321 meV/atom.


# 6
Entry from Alexandria via LeMat-Bulk: an optimized crystal structure of CeNdTeSe2 (PBE-GGA).

The structure in POSCAR format:
```
CeNdTeSe2
1.0
-2.3384 2.3384 7.1818
2.3384 -2.3384 7.1818
2.3384 2.3384 -7.1818
Ce Nd Te Se
1 1 1 2
Direct
0.0000 0.0000 0.0000
0.7329 0.7329 0.0000
0.3669 0.3669 0.0000
0.1158 0.6158 0.5000
0.6158 0.1158 0.5000
```

Summary:
Its total moment is 1.00 μB/cell. The value obtained for the density of states at the Fermi level is 5.88 states/eV per cell. Its total DFT energy (no corrections) is -0.20390 hartree per atom. For the formation energy from raw total energies, the calculation gives -1.386 eV per atom.


Copy entry 4 word for word.
Entry from Alexandria via LeMat-Bulk: an optimized crystal structure of NdInSnAu (PBE-GGA).

The structure in POSCAR format:
```
NdInSnAu
1.0
0.0000 3.6982 3.6982
3.6982 0.0000 3.6982
3.6982 3.6982 0.0000
Nd In Sn Au
1 1 1 1
Direct
0.0000 0.0000 0.0000
0.2500 0.2500 0.2500
0.5000 0.5000 0.5000
0.7500 0.7500 0.7500
```

Summary:
For the formation enthalpy at 0 K, the calculation gives -1.6 eV per formula unit. Its total moment is 0.00 μB/cell. The value obtained for the density of states at the Fermi level is 3.26 states/eV per cell. Its total DFT energy (no corrections) is -0.15029 hartree per atom.


Question: total moment of number 2 (Ac4Ge2Cl)?
Answer: 0.00 μB/cell